Here is K2ScReO6 after structural relaxation from Alexandria via LeMat-Bulk. Energies are from PBE.

CIF file:
```
data_K2ScReO6
_cell_length_a 6.1775
_cell_length_b 6.1775
_cell_length_c 5.4504
_cell_angle_alpha 90.00
_cell_angle_beta 90.00
_cell_angle_gamma 120.00
_space_group_name_H-M_alt 'P -3 m 1'
_space_group_IT_number 164
_space_group_name_Hall '-P 3 2"'
loop_
_atom_site_label
_atom_site_fract_x
_atom_site_fract_y
_atom_site_fract_z
K1 0.3333 0.6667 0.3595
Sc1 0.0000 0.0000 0.0000
Re1 0.0000 0.0000 0.5000
O1 0.1398 0.2797 0.7174
```

Values from the calculation:
V	18.01	Å³/atom
density	3737	kg/m3
uncorrected formation energy	-2025.5	meV/atom
M_tot	0.00	μB/f.u.

Here is CsCo2NiBr8 after structural relaxation from Alexandria via LeMat-Bulk. Energies are from PBE.

CIF file:
```
data_CsCo2NiBr8
_cell_length_a 10.8206
_cell_length_b 7.3288
_cell_length_c 10.3626
_cell_angle_alpha 90.00
_cell_angle_beta 99.21
_cell_angle_gamma 90.00
_space_group_name_H-M_alt 'C 1 2/m 1'
_space_group_IT_number 12
loop_
_space_group_symop_operation_xyz
'x,y,z'
'-x,-y,-z'
'-x,y,-z'
'x,-y,z'
'x+1/2,y+1/2,z'
'-x+1/2,-y+1/2,-z'
'-x+1/2,y+1/2,-z'
'x+1/2,-y+1/2,z'
loop_
_atom_site_label
_atom_site_fract_x
_atom_site_fract_y
_atom_site_fract_z
Cs1 0.0000 0.0000 0.0000
Co1 0.1099 0.5000 0.3087
Ni1 0.0000 0.0000 0.5000
Br1 0.0246 0.2440 0.6835
Br2 0.1774 0.5000 0.1059
Br3 0.2356 0.0000 0.5032
```

Values from the calculation:
V	33.80	Å³/atom
density	3884	kg/m3
uncorrected formation energy	-525.6	meV/atom
M_tot	9.05	μB/f.u.

Here is KCuTc after structural relaxation from Alexandria via LeMat-Bulk. Energies are from PBE.

CIF file:
```
data_KCuTc
_cell_length_a 2.8077
_cell_length_b 2.8077
_cell_length_c 8.0182
_cell_angle_alpha 90.00
_cell_angle_beta 90.00
_cell_angle_gamma 120.00
_space_group_name_H-M_alt 'P 3 m 1'
_space_group_IT_number 156
loop_
_space_group_symop_operation_xyz
'x,y,z'
'-y,x-y,z'
'-x+y,-x,z'
'-y,-x,z'
'-x+y,y,z'
'x,x-y,z'
loop_
_atom_site_label
_atom_site_fract_x
_atom_site_fract_y
_atom_site_fract_z
K1 0.0000 0.0000 0.0000
Cu1 0.3333 0.6667 0.6336
Tc1 0.6667 0.3333 0.3714
```

Values from the calculation:
V	18.25	Å³/atom
formation enthalpy at 0 K	990	meV/atom
density	6087	kg/m3
E above lowest polymorph	0.148	eV per atom
M_tot	0.00	μB/f.u.

Here is NaRe2SbBr after structural relaxation from Alexandria via LeMat-Bulk. Energies are from PBE.

CIF file:
```
data_NaRe2SbBr
_cell_length_a 5.0179
_cell_length_b 5.0179
_cell_length_c 6.4279
_cell_angle_alpha 90.00
_cell_angle_beta 90.00
_cell_angle_gamma 90.00
_space_group_name_H-M_alt 'P 4/m m m'
_space_group_IT_number 123
_space_group_name_Hall '-P 4 2'
loop_
_atom_site_label
_atom_site_fract_x
_atom_site_fract_y
_atom_site_fract_z
Na1 0.0000 0.0000 0.0000
Re1 0.0000 0.5000 0.5000
Sb1 0.5000 0.5000 0.5000
Br1 0.5000 0.5000 0.0000
```

Values from the calculation:
V	32.37	Å³/atom
density	6126	kg/m3
uncorrected formation energy	1623.1	meV/atom
M_tot	5.05	μB/f.u.